PmPrAlPb after structural relaxation. Source: the Alexandria database, functional PBE.

Cell lengths 7.715, 7.715, 7.715 Å; angles 90.00, 90.00, 90.00 degrees
Sites, in units of the cell vectors:
Pm 0.000 0.000 0.000
Pm 0.000 0.500 0.500
Pm 0.500 0.000 0.500
Pm 0.500 0.500 0.000
Pr 0.000 0.000 0.500
Pr 0.000 0.500 0.000
Pr 0.500 0.000 0.000
Pr 0.500 0.500 0.500
Al 0.250 0.250 0.250
Al 0.250 0.750 0.750
Al 0.750 0.250 0.750
Al 0.750 0.750 0.250
Pb 0.250 0.250 0.750
Pb 0.250 0.750 0.250
Pb 0.750 0.250 0.250
Pb 0.750 0.750 0.750

Crystal system: cubic
Theoretical density (Mg/m³): 7.5
ΔH_f (0 K) (eV per formula unit): -1.420